VASP calculation (PBE) on crystalline KHIrAuCl at its relaxed geometry.

a = 2.968 Å, b = 6.561 Å, c = 6.561 Å
α = 55.48°, β = 90.00°, γ = 90.00°
Positions (direct):
1 K 0.000 0.000 0.000
2 H 0.500 0.775 0.775
3 Ir 0.500 0.490 0.490
4 Au 0.000 0.682 0.682
5 Cl 0.000 0.335 0.335

## Properties
The value obtained for the polymorph energy (0 for the lowest one) is 345 meV per atom. As for the total magnetization: 0.1 μB per cell.

***

VASP calculation (PBE) on crystalline Be2ZnCu at its relaxed geometry.

a = 2.464 Å, b = 3.764 Å, c = 4.708 Å
α = 90.00°, β = 105.01°, γ = 90.00°
Positions (direct):
1 Be 0.000 0.000 0.000
2 Be 0.109 0.500 0.249
3 Zn 0.385 0.500 0.778
4 Cu 0.713 0.000 0.443

## Properties
The energy of formation from the pure elements comes out at 32 meV/atom. As for the total magnetization: 0.0 μB per cell.

***

VASP calculation (PBE) on crystalline MgZrZnGa at its relaxed geometry.

a = 3.948 Å, b = 4.205 Å, c = 4.362 Å
α = 90.00°, β = 90.00°, γ = 90.00°
Positions (direct):
1 Mg 0.000 0.000 0.000
2 Zr 0.000 0.500 0.500
3 Zn 0.500 0.500 0.000
4 Ga 0.500 0.000 0.500

## Properties
The energy of formation from the pure elements comes out at -368 meV/atom. As for the total magnetization: 0.0 μB per cell.

***

VASP calculation (PBE) on crystalline PrNpBi2O8 at its relaxed geometry.

a = 5.341 Å, b = 5.350 Å, c = 7.207 Å
α = 90.86°, β = 91.20°, γ = 90.50°
Positions (direct):
1 Pr 0.000 0.000 0.000
2 Np 0.000 0.000 0.500
3 Bi 0.486 0.486 0.760
4 Bi 0.514 0.514 0.240
5 O 0.174 0.168 0.290
6 O 0.187 0.194 0.736
7 O 0.255 0.746 0.506
8 O 0.318 0.685 0.997
9 O 0.682 0.315 0.003
10 O 0.745 0.254 0.494
11 O 0.813 0.806 0.264
12 O 0.826 0.832 0.710

## Properties
For the energy, the calculation gives -7.60 eV/atom. As for the total magnetization: 0.1 μB per cell.

***

VASP calculation (PBE) on crystalline AcSmGaPd at its relaxed geometry.

a = 5.313 Å, b = 5.313 Å, c = 5.313 Å
α = 60.00°, β = 60.00°, γ = 60.00°
Positions (direct):
1 Ac 0.000 0.000 0.000
2 Sm 0.500 0.500 0.500
3 Ga 0.750 0.750 0.750
4 Pd 0.250 0.250 0.250

## Properties
The energy of formation from the pure elements comes out at -553 meV/atom. As for the total magnetization: 0.0 μB per cell.

***

VASP calculation (PBE) on crystalline SrNbRu2O8 at its relaxed geometry.

a = 4.881 Å, b = 4.881 Å, c = 6.437 Å
α = 90.00°, β = 90.00°, γ = 92.25°
Positions (direct):
1 Sr 0.000 0.000 0.000
2 Nb 0.000 0.000 0.500
3 Ru 0.500 0.500 0.255
4 Ru 0.500 0.500 0.745
5 O 0.213 0.213 0.290
6 O 0.213 0.213 0.710
7 O 0.304 0.696 0.500
8 O 0.342 0.658 0.000
9 O 0.658 0.342 0.000
10 O 0.696 0.304 0.500
11 O 0.787 0.787 0.290
12 O 0.787 0.787 0.710

## Properties
For the energy, the calculation gives -7.46 eV/atom. As for the total magnetization: 1.1 μB per cell.

***

VASP calculation (PBE) on crystalline Tb2MgAu at its relaxed geometry.

a = 5.215 Å, b = 5.215 Å, c = 5.215 Å
α = 60.00°, β = 60.00°, γ = 60.00°
Positions (direct):
1 Tb 0.250 0.250 0.250
2 Tb 0.750 0.750 0.750
3 Mg 0.000 0.000 0.000
4 Au 0.500 0.500 0.500

## Properties
The value obtained for the polymorph energy (0 for the lowest one) is 61 meV per atom. The energy of formation from the pure elements comes out at -405 meV/atom. As for the total magnetization: 0.0 μB per cell.

***

VASP calculation (PBE) on crystalline AcCu3Si2 at its relaxed geometry.

a = 7.957 Å, b = 7.957 Å, c = 7.216 Å
α = 112.74°, β = 112.74°, γ = 29.95°
Positions (direct):
1 Ac 0.155 0.155 0.079
2 Ac 0.845 0.845 0.921
3 Cu 0.028 0.028 0.359
4 Cu 0.315 0.315 0.554
5 Cu 0.410 0.410 0.343
6 Cu 0.590 0.590 0.657
7 Cu 0.685 0.685 0.446
8 Cu 0.972 0.972 0.641
9 Si 0.180 0.180 0.647
10 Si 0.479 0.479 0.817
11 Si 0.521 0.521 0.183
12 Si 0.820 0.820 0.353

## Properties
The value obtained for the polymorph energy (0 for the lowest one) is 0 meV per atom. As for the total magnetization: 0.0 μB per cell.

***

VASP calculation (PBE) on crystalline LaSnBiN2 at its relaxed geometry.

a = 4.561 Å, b = 4.561 Å, c = 6.283 Å
α = 90.00°, β = 90.00°, γ = 90.00°
Positions (direct):
1 La 0.000 0.000 0.000
2 Sn 0.500 0.500 0.000
3 Bi 0.000 0.000 0.500
4 N 0.000 0.500 0.500
5 N 0.500 0.000 0.500

## Properties
For the energy, the calculation gives -4.53 eV/atom. As for the total magnetization: 0.0 μB per cell.

***

VASP calculation (PBE) on crystalline KSm3Er2Te6 at its relaxed geometry.

a = 9.984 Å, b = 9.984 Å, c = 9.035 Å
α = 103.37°, β = 103.37°, γ = 25.51°
Positions (direct):
1 K 0.000 0.000 0.000
2 Sm 0.000 0.000 0.500
3 Sm 0.342 0.342 0.185
4 Sm 0.658 0.658 0.815
5 Er 0.334 0.334 0.661
6 Er 0.666 0.666 0.339
7 Te 0.169 0.169 0.575
8 Te 0.175 0.175 0.091
9 Te 0.493 0.493 0.738
10 Te 0.507 0.507 0.262
11 Te 0.825 0.825 0.909
12 Te 0.831 0.831 0.425

## Properties
For the energy, the calculation gives -4.91 eV/atom. As for the total magnetization: 0.0 μB per cell.

***

VASP calculation (PBE) on crystalline KIn3Si at its relaxed geometry.

a = 5.901 Å, b = 5.901 Å, c = 5.901 Å
α = 90.00°, β = 90.00°, γ = 90.00°
Positions (direct):
1 K 0.000 0.000 0.000
2 In 0.000 0.000 0.500
3 In 0.000 0.500 0.000
4 In 0.500 0.000 0.000
5 Si 0.500 0.500 0.500

## Properties
The value obtained for the polymorph energy (0 for the lowest one) is 1028 meV per atom. As for the total magnetization: 0.0 μB per cell.

***

VASP calculation (PBE) on crystalline Pr4HN2 at its relaxed geometry.

a = 12.786 Å, b = 12.786 Å, c = 12.786 Å
α = 16.49°, β = 16.49°, γ = 16.49°
Positions (direct):
1 Pr 0.117 0.117 0.117
2 Pr 0.290 0.290 0.290
3 Pr 0.710 0.710 0.710
4 Pr 0.883 0.883 0.883
5 H 0.000 0.000 0.000
6 N 0.415 0.415 0.415
7 N 0.585 0.585 0.585

## Properties
For the energy, the calculation gives -6.45 eV/atom. As for the total magnetization: 0.0 μB per cell.

***

VASP calculation (PBE) on crystalline ScTlFe at its relaxed geometry.

a = 4.488 Å, b = 4.488 Å, c = 4.488 Å
α = 60.00°, β = 60.00°, γ = 60.00°
Positions (direct):
1 Sc 0.000 0.000 0.000
2 Tl 0.500 0.500 0.500
3 Fe 0.750 0.750 0.750

## Properties
The energy of formation from the pure elements comes out at 302 meV/atom. As for the total magnetization: 1.4 μB per cell.

***

VASP calculation (PBE) on crystalline CaZrFe at its relaxed geometry.

a = 4.547 Å, b = 4.547 Å, c = 4.547 Å
α = 60.00°, β = 60.00°, γ = 60.00°
Positions (direct):
1 Ca 0.000 0.000 0.000
2 Zr 0.500 0.500 0.500
3 Fe 0.750 0.750 0.750

## Properties
The value obtained for the polymorph energy (0 for the lowest one) is 393 meV per atom. The energy of formation from the pure elements comes out at 574 meV/atom. As for the total magnetization: 0.1 μB per cell.

***

VASP calculation (PBE) on crystalline DyThTe2 at its relaxed geometry.

a = 5.372 Å, b = 5.372 Å, c = 3.836 Å
α = 90.00°, β = 90.00°, γ = 90.00°
Positions (direct):
1 Dy 0.000 0.000 0.000
2 Th 0.500 0.500 0.000
3 Te 0.000 0.500 0.500
4 Te 0.500 0.000 0.500

## Properties
The value obtained for the polymorph energy (0 for the lowest one) is 21 meV per atom. As for the total magnetization: 0.0 μB per cell.

***

VASP calculation (PBE) on crystalline NaBe2Nb at its relaxed geometry.

a = 4.329 Å, b = 4.329 Å, c = 4.329 Å
α = 60.00°, β = 60.00°, γ = 60.00°
Positions (direct):
1 Na 0.000 0.000 0.000
2 Be 0.250 0.250 0.250
3 Be 0.750 0.750 0.750
4 Nb 0.500 0.500 0.500

## Properties
The value obtained for the polymorph energy (0 for the lowest one) is 0 meV per atom. The energy of formation from the pure elements comes out at 731 meV/atom. As for the total magnetization: 0.0 μB per cell.

***

VASP calculation (PBE) on crystalline LiTm5Mg6 at its relaxed geometry.

a = 5.262 Å, b = 7.435 Å, c = 9.114 Å
α = 65.93°, β = 73.30°, γ = 90.00°
Positions (direct):
1 Li 0.000 0.000 0.000
2 Tm 0.000 0.500 0.000
3 Tm 0.317 0.818 0.365
4 Tm 0.335 0.336 0.328
5 Tm 0.665 0.664 0.672
6 Tm 0.683 0.182 0.635
7 Mg 0.158 0.387 0.687
8 Mg 0.158 0.927 0.686
9 Mg 0.500 0.225 0.999
10 Mg 0.500 0.775 0.001
11 Mg 0.842 0.073 0.314
12 Mg 0.842 0.613 0.313

## Properties
The energy of formation from the pure elements comes out at -38 meV/atom. As for the total magnetization: 0.0 μB per cell.

***

VASP calculation (PBE) on crystalline LiPr3Y3Te8 at its relaxed geometry.

a = 8.877 Å, b = 8.877 Å, c = 8.877 Å
α = 59.65°, β = 59.65°, γ = 59.65°
Positions (direct):
1 Li 0.000 0.000 0.000
2 Pr 0.000 0.000 0.500
3 Pr 0.000 0.500 0.000
4 Pr 0.500 0.000 0.000
5 Y 0.000 0.500 0.500
6 Y 0.500 0.000 0.500
7 Y 0.500 0.500 0.000
8 Te 0.248 0.248 0.744
9 Te 0.248 0.744 0.248
10 Te 0.254 0.254 0.254
11 Te 0.256 0.752 0.752
12 Te 0.744 0.248 0.248
13 Te 0.746 0.746 0.746
14 Te 0.752 0.256 0.752
15 Te 0.752 0.752 0.256

## Properties
For the energy, the calculation gives -5.43 eV/atom. As for the total magnetization: 0.0 μB per cell.

***

VASP calculation (PBE) on crystalline ReSnPd2C at its relaxed geometry.

a = 4.846 Å, b = 4.846 Å, c = 5.038 Å
α = 90.00°, β = 90.00°, γ = 90.00°
Positions (direct):
1 Re 0.000 0.000 0.000
2 Sn 0.000 0.000 0.500
3 Pd 0.000 0.500 0.500
4 Pd 0.500 0.000 0.500
5 C 0.500 0.500 0.000

## Properties
The energy of formation from the pure elements comes out at 2771 meV/atom. As for the total magnetization: 0.2 μB per cell.

***

VASP calculation (PBE) on crystalline PrHo2RhN4 at its relaxed geometry.

a = 6.127 Å, b = 6.127 Å, c = 11.523 Å
α = 90.00°, β = 90.00°, γ = 147.46°
Positions (direct):
1 Pr 0.114 0.886 0.750
2 Pr 0.886 0.114 0.250
3 Ho 0.370 0.630 0.545
4 Ho 0.370 0.630 0.955
5 Ho 0.630 0.370 0.045
6 Ho 0.630 0.370 0.455
7 Rh 0.147 0.853 0.250
8 Rh 0.853 0.147 0.750
9 N 0.000 0.000 0.000
10 N 0.000 0.000 0.500
11 N 0.270 0.730 0.125
12 N 0.270 0.730 0.375
13 N 0.449 0.551 0.750
14 N 0.551 0.449 0.250
15 N 0.730 0.270 0.625
16 N 0.730 0.270 0.875

## Properties
For the energy, the calculation gives -7.80 eV/atom. As for the total magnetization: 0.0 μB per cell.